[1]
Density functional theory data (GGA-PBE) for a relaxed ErPa2Cu6 crystal.

DOS(E_F) (states/eV per cell): 7.10
Crystal system: hexagonal
Formation enthalpy at 0 K (meV/atom): -115
Spin magnetization (μB per atom): 0.052

```
ErPa2Cu6
1.0
3.155 0.000 0.000
0.000 6.555 -3.784
0.000 0.000 7.569
Er Pa Cu
1 2 6
direct
0.000 0.000 0.000 Er
0.000 0.333 0.667 Pa
0.000 0.667 0.333 Pa
0.500 0.333 0.333 Cu
0.500 0.667 0.667 Cu
0.500 0.000 0.667 Cu
0.500 0.667 0.000 Cu
0.500 0.333 0.000 Cu
0.500 0.000 0.333 Cu
```

=====

[2]
Density functional theory data (GGA-PBE) for a relaxed KNaPS2 crystal.

ΔE to the lowest computed polymorph (eV/atom): 0.000
Formation energy from raw total energies (kJ/mol of formula units): -276
Crystal system: orthorhombic
Spin magnetization (μB per atom): 0.000

```
KNaPS2
1.0
-4.831 0.839 4.288
-5.939 -2.407 -6.219
2.088 -3.172 2.973
K Na P S
2 2 2 4
direct
0.210 0.500 0.750 K
0.790 0.500 0.250 K
0.399 0.000 0.250 Na
0.601 0.000 0.750 Na
0.000 0.000 0.000 P
0.000 0.000 0.500 P
0.775 0.783 0.033 S
0.775 0.217 0.467 S
0.225 0.783 0.533 S
0.225 0.217 0.967 S
```

=====

[3]
Density functional theory data (GGA-PBE) for a relaxed MnBeAu4 crystal.

DOS(E_F) (states/eV per cell): 4.95
ΔE to the lowest computed polymorph (eV/atom): 0.018
Crystal system: monoclinic
Formation enthalpy at 0 K (meV/atom): -59
Spin magnetization (μB per atom): 0.734

```
MnBeAu4
1.0
-3.512 -3.488 -0.341
-0.078 0.702 -6.381
6.143 -2.948 2.831
Mn Be Au
2 2 8
direct
0.198 0.198 0.396 Mn
0.802 0.802 0.604 Mn
0.719 0.500 0.000 Be
0.281 0.500 0.000 Be
0.815 0.316 0.632 Au
0.623 0.356 0.246 Au
0.000 0.210 0.000 Au
0.377 0.110 0.754 Au
0.185 0.684 0.368 Au
0.377 0.644 0.754 Au
0.000 0.790 0.000 Au
0.623 0.890 0.246 Au
```

=====

[4]
Density functional theory data (GGA-PBE) for a relaxed CdSbI6 crystal.

DOS(E_F) (states/eV per cell): 11.95
Formation energy from raw total energies (kJ/mol of formula units): -186
Crystal system: trigonal
Spin magnetization (μB per atom): 0.000

```
CdSbI6
1.0
7.499 0.010 0.005
3.740 6.494 0.009
3.743 2.162 6.697
Cd Sb I
1 1 6
direct
0.500 0.500 0.500 Cd
0.000 0.000 0.000 Sb
0.079 0.419 0.747 I
0.755 0.079 0.747 I
0.581 0.245 0.253 I
0.245 0.921 0.253 I
0.921 0.581 0.253 I
0.419 0.755 0.747 I
```

=====

[5]
Density functional theory data (GGA-PBE) for a relaxed LaPrTh2S4 crystal.

DOS(E_F) (states/eV per cell): 4.99
Formation energy from raw total energies (kJ/mol of formula units): -1513
Crystal system: monoclinic
Spin magnetization (μB per atom): 0.000

```
LaPrTh2S4
1.0
-3.738 -1.647 0.290
2.825 -6.000 2.342
-1.440 4.239 5.502
La Pr Th S
1 1 2 4
direct
0.000 0.000 0.000 La
0.500 0.500 0.000 Pr
0.500 0.000 0.500 Th
0.000 0.500 0.500 Th
0.500 0.253 0.255 S
0.500 0.747 0.745 S
0.000 0.250 0.745 S
0.000 0.750 0.255 S
```

=====

[6]
Density functional theory data (GGA-PBE) for a relaxed TmMnAl crystal.

DOS(E_F) (states/eV per cell): 6.43
Crystal system: orthorhombic
Formation enthalpy at 0 K (meV/atom): -10
Spin magnetization (μB per atom): 0.806

```
TmMnAl
1.0
-2.307 -1.125 -1.593
3.433 -1.891 -3.636
0.471 -6.054 3.594
Al Tm Mn
2 2 2
direct
0.500 0.750 0.755 Al
0.500 0.250 0.245 Al
0.000 0.250 0.646 Tm
0.000 0.750 0.354 Tm
0.000 0.000 0.000 Mn
0.000 0.500 0.000 Mn
```

=====

[7]
Density functional theory data (GGA-PBE) for a relaxed InAsW2 crystal.

DOS(E_F) (states/eV per cell): 1.45
ΔE to the lowest computed polymorph (eV/atom): 0.000
Crystal system: tetragonal
Formation enthalpy at 0 K (meV/atom): 225
Spin magnetization (μB per atom): 0.000

```
InAsW2
1.0
3.277 0.000 0.000
0.000 3.277 0.000
0.000 0.000 6.691
As W In
1 2 1
direct
0.000 0.000 0.446 As
0.000 0.000 0.031 W
0.500 0.500 0.260 W
0.500 0.500 0.762 In
```

=====

[8]
Density functional theory data (GGA-PBE) for a relaxed KMg crystal.

DOS(E_F) (states/eV per cell): 2.59
Crystal system: trigonal
Formation enthalpy at 0 K (meV/atom): 255
Spin magnetization (μB per atom): 0.000

```
KMg
1.0
-2.233 1.308 3.097
3.258 -2.281 0.683
6.923 10.104 0.725
K Mg
2 2
direct
0.000 0.000 0.958 K
0.333 0.667 0.292 K
0.000 0.000 0.540 Mg
0.333 0.667 0.710 Mg
```

=====

Q: What is the formula in the fifth record?
A: LaPrTh2S4